# 1
First-principles (GGA+U) data for crystalline Ba3NiSb2O9 at its relaxed geometry, as listed in Alexandria.

Values from the calculation:
**Size of the total moment**: 3.92 μB/cell
**Excess energy over the best structure of this formula in the dataset**: 1.2 kJ/mol of atoms
**Theoretical density**: 6.6 g/cm³
**Space-group type**: No. 186

a b c (Å): 5.8756 5.8756 14.5204
angles (deg): 90.00 90.00 120.00
Closest atoms and distances in Å follow each position.
Sites, in units of the cell vectors:
Ba1 0.0000 0.0000 0.0000  12 O 2.94-3.00
Ba2 0.0000 0.0000 0.5000  12 O 2.94-3.00
Ba3 0.3333 0.6667 0.1658  12 O 2.90-2.98
Ba4 0.3333 0.6667 0.8623  9 O 2.80-2.97
Ba5 0.6667 0.3333 0.3623  9 O 2.80-2.97
Ba6 0.6667 0.3333 0.6658  12 O 2.90-2.98
Ni1 0.3333 0.6667 0.4063  6 O 2.06-2.18
Ni2 0.6667 0.3333 0.9063  6 O 2.06-2.18
Sb1 0.0000 0.0000 0.2577  6 O 1.96-2.09
Sb2 0.0000 0.0000 0.7577  6 O 1.96-2.09
Sb3 0.3333 0.6667 0.5926  6 O 1.99-2.06
Sb4 0.6667 0.3333 0.0926  6 O 1.99-2.06
O1 0.0228 0.5114 0.5095  1 Sb 1.99, 1 Ni 2.18
O2 0.1613 0.3226 0.3318  1 Sb 1.96, 1 Ni 2.06
O3 0.1613 0.8387 0.3318  1 Sb 1.96, 1 Ni 2.06
O4 0.1648 0.3296 0.6716  2 Sb 2.06-2.09
O5 0.1648 0.8352 0.6716  2 Sb 2.06-2.09
O6 0.3226 0.1613 0.8318  1 Sb 1.96, 1 Ni 2.06
O7 0.3296 0.1648 0.1716  2 Sb 2.06-2.09
O8 0.4886 0.5114 0.5095  1 Sb 1.99, 1 Ni 2.18
O9 0.4886 0.9772 0.5095  1 Sb 1.99, 1 Ni 2.18
O10 0.5114 0.0228 0.0095  1 Sb 1.99, 1 Ni 2.18
O11 0.5114 0.4886 0.0095  1 Sb 1.99, 1 Ni 2.18
O12 0.6704 0.8352 0.6716  2 Sb 2.06-2.09
O13 0.6774 0.8387 0.3318  1 Sb 1.96, 1 Ni 2.06
O14 0.8352 0.1648 0.1716  2 Sb 2.06-2.09
O15 0.8352 0.6704 0.1716  2 Sb 2.06-2.09
O16 0.8387 0.1613 0.8318  1 Sb 1.96, 1 Ni 2.06
O17 0.8387 0.6774 0.8318  1 Sb 1.96, 1 Ni 2.06
O18 0.9772 0.4886 0.0095  1 Sb 1.99, 1 Ni 2.18

=====

# 2
First-principles (GGA+U) data for crystalline CdCoNi2O4 at its relaxed geometry, as listed in Alexandria.

Values from the calculation:
**Energy**: -0.3417 Ry per atom
**Size of the total moment**: 3.00 μB/cell
**Theoretical density**: 6.4 g/cm³
**Space-group type**: No. 42

a b c (Å): 4.9661 4.9620 5.2909
angles (deg): 57.83 57.76 64.41
Closest atoms and distances in Å follow each position.
Sites, in units of the cell vectors:
Cd1 0.0000 0.0000 0.0000  4 O 2.37
Co1 0.5008 0.5008 0.4992  4 O 2.01-2.02
Ni1 0.2502 0.2502 0.2498  4 O 1.95
Ni2 0.7502 0.7502 0.7498  4 O 1.95
O1 0.1034 0.5473 0.8966  2 Ni 1.95, 1 Co 2.02
O2 0.4520 0.8958 0.1042  2 Ni 1.95, 1 Co 2.01
O3 0.5473 0.1034 0.4527  2 Ni 1.95, 1 Co 2.02
O4 0.8958 0.4520 0.5480  2 Ni 1.95, 1 Co 2.01